Entry 1:
Compound: Ac2Pm8Nd
Source: Alexandria
Functional: GGA-PBE
Structure: optimized geometry

It has space group C2/m (No. 12), with a = 17.016 Å, b = 6.908 Å, c = 7.005 Å, α = 90.00°, β = 99.90° and γ = 90.00°. The asymmetric unit holds Ac at (0.201, 0.000, 0.313), Pm at (0.085, 0.500, 0.400), Pm at (0.088, 0.264, 0.901), Pm at (0.246, 0.000, 0.824) and Nd at (0.000, 0.000, 0.500).

The calculation puts the energy relative to the lowest polymorph listed for this composition at 0.0 kJ/mol of atoms. The value obtained for the formation energy is 152.2 kJ/mol of formula units. Its total magnetization is 0.000 μB per atom. For the density of states at the Fermi level, the calculation gives 1.6025 states/eV per atom. As for the raw total energy: -98.8 eV per cell.

Entry 2:
Compound: Ac5PmNd4
Source: Alexandria
Functional: GGA-PBE
Structure: optimized geometry

It has space group P4/mmm (No. 123), with a = 3.895 Å, b = 3.895 Å, c = 26.212 Å, α = 90.00°, β = 90.00° and γ = 90.00°. The asymmetric unit holds Ac at (0.000, 0.000, 0.000), Ac at (0.000, 0.000, 0.200), Ac at (0.000, 0.000, 0.401), Pm at (0.500, 0.500, 0.500), Nd at (0.500, 0.500, 0.100) and Nd at (0.500, 0.500, 0.300).

The calculation puts the energy relative to the lowest polymorph listed for this composition at 0.4 kJ/mol of atoms. The value obtained for the formation energy is 28.4 kJ/mol of formula units. Its total magnetization is 0.000 μB per atom. For the density of states at the Fermi level, the calculation gives 1.7759 states/eV per atom. As for the raw total energy: -44.1 eV per cell.

Entry 3:
Compound: AcPm7Nd3
Source: Alexandria
Functional: GGA-PBE
Structure: optimized geometry

It has space group P3m1 (No. 156), with a = 7.3013 Å, b = 7.3013 Å, c = 8.8776 Å, α = 90.00°, β = 90.00° and γ = 120.00°. The asymmetric unit holds Ac at (0.0000, 0.0000, 0.0000), Pm at (0.1672, 0.3344, 0.3308), Pm at (0.5006, 0.0012, 0.9933), Pm at (0.6667, 0.3333, 0.3198) and Nd at (0.3359, 0.1679, 0.6572).

The calculation puts the energy relative to the lowest polymorph listed for this composition at 0.0 kJ/mol of atoms. The value obtained for the formation energy is 193.5 kJ/mol of formula units. Its total magnetization is 0.000 μB per atom. For the density of states at the Fermi level, the calculation gives 1.5146 states/eV per atom. As for the raw total energy: -49.7 eV per cell.